Density functional theory data (PBE with a Hubbard U) for a geometry-optimized CaNiF4 structure.

Cell: 5.618 5.619 6.075 Å, 106.29 106.31 97.92°
Fractional coordinates of all 12 atoms:
Ca  0.120  0.379  0.250
Ca  0.880  0.621  0.750
Ni  0.482  0.019  0.750
Ni  0.518  0.981  0.250
F  0.188  0.715  0.592
F  0.216  0.687  0.092
F  0.320  0.143  0.011
F  0.356  0.179  0.488
F  0.644  0.821  0.512
F  0.680  0.857  0.989
F  0.784  0.313  0.908
F  0.812  0.285  0.408

**Fermi-level density of states**: 0.0000 states/eV per atom
**DFT total energy**: -5.03 eV per atom
**Crystal system**: triclinic
**Density**: 3.38 g/cm³